Compound: ErTmMg5
Source: the Alexandria database
Functional: PBE-GGA
Structure: relaxed

Unit cell a=6.339 b=9.730 c=6.481 alpha=90.00 beta=110.28 gamma=90.00
Fractional coordinates of all 14 atoms:
Er 0.000 0.000 0.000
Er 0.500 0.500 0.000
Tm 0.000 0.500 0.500
Tm 0.500 0.000 0.500
Mg 0.000 0.000 0.500
Mg 0.206 0.286 0.227
Mg 0.206 0.714 0.227
Mg 0.294 0.214 0.773
Mg 0.294 0.786 0.773
Mg 0.500 0.500 0.500
Mg 0.706 0.214 0.227
Mg 0.706 0.786 0.227
Mg 0.794 0.286 0.773
Mg 0.794 0.714 0.773

Output
Symmetry = C2/m (12)
Density = 4.05 Mg/m³
Total magnetization = 0.00 μB/cell
E = -2.3146 eV/atom
Energy of formation from the pure elements = 0.115 eV/atom